Record 1
Entry from Alexandria: crystalline CuMoRh2 at its relaxed geometry (PBE-GGA).

POSCAR file:
```
CuMoRh2
1.0
9.0706 0.0000 0.0000
0.0000 2.7593 0.0000
-0.8473 0.0000 4.5451
Cu Mo Rh
2 2 4
direct
0.0000 0.0000 0.0000 Cu
0.5000 0.5000 0.0000 Cu
0.2560 0.5000 0.2814 Mo
0.7560 0.0000 0.2814 Mo
0.0049 0.5000 0.4948 Rh
0.2505 0.0000 0.7874 Rh
0.5049 0.0000 0.4948 Rh
0.7505 0.5000 0.7874 Rh
```

As for the total magnetization: 0.00 μB per formula unit. The electronic total energy comes out at -59.207 eV for the cell shown. As for the offset from the most stable computed form: 0.57 eV/f.u. The space group is Cm, No. 8.

=====

Record 2
Entry from Alexandria: crystalline Rh3WS at its relaxed geometry (PBE-GGA).

POSCAR file:
```
Rh3WS
1.0
4.7099 0.0000 0.0000
0.0000 4.7099 0.0000
0.0000 0.0000 4.7099
Rh W S
3 1 1
direct
0.0000 0.0000 0.5000 Rh
0.0000 0.5000 0.0000 Rh
0.5000 0.0000 0.0000 Rh
0.0000 0.0000 0.0000 W
0.5000 0.5000 0.5000 S
```

Its uncorrected formation energy is 1.393 eV per atom. As for the total magnetization: 0.00 μB per formula unit. The electronic total energy comes out at -32.171 eV for the cell shown. As for the offset from the most stable computed form: 3.35 eV/f.u. The space group is Pm-3m, No. 221.

=====

Record 3
Entry from Alexandria: crystalline CoMoCl3 at its relaxed geometry (PBE-GGA).

POSCAR file:
```
CoMoCl3
1.0
4.7562 0.0000 0.0000
0.0000 4.7562 0.0000
0.0000 0.0000 4.7562
Co Mo Cl
1 1 3
direct
0.0000 0.0000 0.0000 Co
0.5000 0.5000 0.5000 Mo
0.0000 0.0000 0.5000 Cl
0.0000 0.5000 0.0000 Cl
0.5000 0.0000 0.0000 Cl
```

Its uncorrected formation energy is 0.376 eV per atom. As for the total magnetization: 2.23 μB per formula unit. The electronic total energy comes out at -21.597 eV for the cell shown. The space group is Pm-3m, No. 221.

=====

Record 4
Entry from Alexandria: crystalline Pr2PuSb3Rh4 at its relaxed geometry (PBE-GGA).

POSCAR file:
```
Pr2PuSb3Rh4
1.0
4.4578 0.0000 0.0000
0.0000 4.4578 0.0000
0.0000 0.0000 11.2566
Pr Pu Sb Rh
2 1 3 4
direct
0.0000 0.5000 0.2292 Pr
0.5000 0.0000 0.7708 Pr
0.0000 0.0000 0.5000 Pu
0.0000 0.5000 0.8715 Sb
0.5000 0.0000 0.1285 Sb
0.5000 0.5000 0.5000 Sb
0.0000 0.0000 0.0000 Rh
0.0000 0.5000 0.6423 Rh
0.5000 0.0000 0.3577 Rh
0.5000 0.5000 0.0000 Rh
```

Its uncorrected formation energy is -0.776 eV per atom. As for the total magnetization: 5.57 μB per formula unit. The electronic total energy comes out at -73.428 eV for the cell shown. The space group is P-4m2, No. 115.

=====

Record 5
Entry from Alexandria: crystalline AsOs at its relaxed geometry (PBE-GGA).

POSCAR file:
```
AsOs
1.0
8.6592 0.0000 0.0000
0.0000 3.1191 0.0000
-1.0867 0.0000 4.5068
As Os
4 4
direct
0.1176 0.0000 0.3081 As
0.3824 0.5000 0.6919 As
0.6176 0.5000 0.3081 As
0.8824 0.0000 0.6919 As
0.1156 0.5000 0.7993 Os
0.3844 0.0000 0.2007 Os
0.6156 0.0000 0.7993 Os
0.8844 0.5000 0.2007 Os
```

As for the total magnetization: 0.00 μB per formula unit. The electronic total energy comes out at -60.448 eV for the cell shown. The space group is C2/m, No. 12.

=====

Record 6
Entry from Alexandria: crystalline CeAlGa2Au4 at its relaxed geometry (PBE-GGA).

POSCAR file:
```
CeAlGa2Au4
1.0
2.2544 1.3016 8.8691
-2.2544 1.3016 8.8691
0.0000 -2.6032 8.8691
Ce Al Ga Au
1 1 2 4
direct
0.0000 0.0000 0.0000 Ce
0.5000 0.5000 0.5000 Al
0.2564 0.2564 0.2564 Ga
0.7436 0.7436 0.7436 Ga
0.1368 0.1368 0.1368 Au
0.3997 0.3997 0.3997 Au
0.6003 0.6003 0.6003 Au
0.8632 0.8632 0.8632 Au
```

As for the total magnetization: 0.73 μB per formula unit. The electronic total energy comes out at -32.460 eV for the cell shown. The space group is R-3m, No. 166.